#A
Tm3Te2Rh | PBE | optimized geometry

```
Tm3Te2Rh
1.0
-3.9321 1.3438 -0.4323
-1.1411 -3.7785 -1.3695
0.7122 -1.3510 9.5080
Tm Te Rh
3 2 1
Direct
0.9340 0.9359 0.8740
0.2945 0.2958 0.5944
0.5742 0.5754 0.1536
0.1135 0.1147 0.2322
0.7552 0.7565 0.5157
0.4339 0.4358 0.8740
```



#B
Tm3Te2Rh | PBE | optimized geometry

```
Tm3Te2Rh
1.0
-1.3440 -3.6952 1.2000
0.3461 -1.9480 -5.6109
6.6611 -1.1367 3.9598
Tm Te Rh
3 2 1
Direct
0.5000 0.8774 0.7548
0.5000 0.1226 0.2452
0.0000 0.5000 0.0000
0.5000 0.3396 0.6791
0.5000 0.6604 0.3209
0.0000 0.0000 0.0000
```



Stability summary: most stable #A, least stable #B.



#A
Tm7Te2Rh2 | PBE | optimized geometry

```
Tm7Te2Rh2
1.0
-7.3491 -1.0303 2.0033
2.9671 -1.8193 6.0940
-0.0252 7.0094 -0.3425
Tm Te Rh
7 2 2
Direct
0.2018 0.9256 0.4623
0.7982 0.5377 0.0744
0.7982 0.0744 0.5377
0.2018 0.4623 0.9256
0.0000 0.0000 0.0000
0.8022 0.5696 0.5696
0.1978 0.4304 0.4304
0.5000 0.3017 0.6983
0.5000 0.6983 0.3017
0.8595 0.2629 0.2629
0.1405 0.7371 0.7371
```



#B
Tm7Te2Rh2 | PBE | optimized geometry

```
Tm7Te2Rh2
1.0
-3.7892 -0.2104 0.8021
-0.1550 1.8190 9.1237
-1.8547 8.6492 2.8856
Tm Te Rh
7 2 2
Direct
0.8168 0.0808 0.2857
0.8525 0.4048 0.8901
0.5000 0.0246 0.9754
0.6320 0.4745 0.2614
0.3680 0.7386 0.5255
0.1832 0.7143 0.9192
0.1475 0.1099 0.5952
0.0000 0.7582 0.2418
0.5000 0.3614 0.6386
0.7382 0.8552 0.6685
0.2618 0.3315 0.1448
```



Stability summary: most stable #B, least stable #A.



#A
Tm5Te2Rh | PBE | optimized geometry

```
Tm5Te2Rh
1.0
5.1456 0.0000 0.0000
-2.5728 8.0674 0.0000
0.0000 0.0000 13.3191
Tm Te Rh
10 4 2
Direct
0.9012 0.8024 0.8870
0.9012 0.8024 0.6130
0.3107 0.6214 0.4298
0.3107 0.6214 0.0702
0.7409 0.4819 0.2500
0.2591 0.5181 0.7500
0.6893 0.3786 0.5702
0.6893 0.3786 0.9298
0.0988 0.1976 0.1130
0.0988 0.1976 0.3870
0.9108 0.8217 0.3847
0.9108 0.8217 0.1153
0.0892 0.1783 0.6153
0.0892 0.1783 0.8847
0.7802 0.5604 0.7500
0.2198 0.4396 0.2500
```



#B
Tm5Te2Rh | PBE | optimized geometry

```
Tm5Te2Rh
1.0
-3.6288 -0.2184 1.7559
-3.3301 -1.8877 -7.1168
1.9505 -12.6877 2.4527
Tm Te Rh
10 4 2
Direct
0.0000 0.0000 0.5000
0.0000 0.5000 0.0000
0.0000 0.8355 0.1827
0.0000 0.1645 0.8173
0.0000 0.6645 0.6827
0.0000 0.3355 0.3173
0.5000 0.6688 0.4143
0.5000 0.3312 0.5857
0.5000 0.8312 0.9143
0.5000 0.1688 0.0857
0.5000 0.5374 0.1792
0.5000 0.4626 0.8208
0.5000 0.9626 0.6792
0.5000 0.0374 0.3208
0.0000 0.5000 0.5000
0.0000 0.0000 0.0000
```



Stability summary: most stable #B, least stable #A.